1.
# HoPaFeNi

A relaxed structure of HoPaFeNi (PBE, the Alexandria database).

## Properties
- ΔE_f (eV per formula unit) = -0.32

Unit cell a=4.720 b=4.720 c=4.720 alpha=60.00 beta=60.00 gamma=60.00
Each line ends with the local moment (μB).
Positions (direct):
1 Fe 0.750 0.750 0.750  0.70
2 Ho 0.500 0.500 0.500  -0.09
3 Pa 0.000 0.000 0.000  -0.16
4 Ni 0.250 0.250 0.250  0.05

---

2.
# Sr12TlPd5

A relaxed structure of Sr12TlPd5 (PBE, the Alexandria database).

## Properties
- ΔE_f (eV per formula unit) = -7.39

Unit cell a=9.415 b=9.415 c=9.415 alpha=104.37 beta=114.64 gamma=109.58
Positions (direct):
1 Sr 0.318 0.338 0.656
2 Sr 0.889 0.174 0.715
3 Sr 0.813 0.044 0.231
4 Sr 0.187 0.956 0.769
5 Sr 0.682 0.338 0.021
6 Sr 0.458 0.174 0.285
7 Sr 0.682 0.662 0.344
8 Sr 0.187 0.418 0.231
9 Sr 0.318 0.662 0.979
10 Sr 0.111 0.826 0.285
11 Sr 0.542 0.826 0.715
12 Sr 0.813 0.582 0.769
13 Pd 0.673 0.673 0.000
14 Pd 0.327 0.327 0.000
15 Pd 0.500 0.877 0.377
16 Pd 0.500 0.123 0.623
17 Pd 0.000 0.000 0.000
18 Tl 0.000 0.500 0.500

---

3.
# AcNdYTm

A relaxed structure of AcNdYTm (PBE, the Alexandria database).

## Properties
- ΔE_f (eV per formula unit) = 0.64
- offset from the most stable computed form (meV/atom) = 56

Unit cell a=5.868 b=5.868 c=5.868 alpha=60.00 beta=60.00 gamma=60.00
Positions (direct):
1 Y 0.500 0.500 0.500
2 Ac 0.250 0.250 0.250
3 Nd 0.000 0.000 0.000
4 Tm 0.750 0.750 0.750

---

4.
# Ac4TePtCl2

A relaxed structure of Ac4TePtCl2 (PBE, the Alexandria database).

## Properties
- formation energy from raw total energies (eV/atom) = -1.41

Unit cell a=4.411 b=7.527 c=8.502 alpha=70.63 beta=90.00 gamma=90.00
Positions (direct):
1 Te 0.000 0.500 0.500
2 Pt 0.500 0.500 0.000
3 Cl 0.000 0.000 0.000
4 Cl 0.500 0.000 0.500
5 Ac 0.000 0.727 0.784
6 Ac 0.500 0.757 0.222
7 Ac 0.500 0.243 0.778
8 Ac 0.000 0.273 0.216

---

5.
# NaCe5Pb5

A relaxed structure of NaCe5Pb5 (PBE, the Alexandria database).

## Properties
- ΔE_f (eV per formula unit) = -1.53

Unit cell a=5.941 b=9.373 c=6.690 alpha=96.80 beta=90.00 gamma=108.48
Each line ends with the local moment (μB).
Positions (direct):
1 Ce 0.674 0.348 0.938  0.89
2 Ce 0.348 0.696 0.583  1.02
3 Ce 0.326 0.652 0.062  0.89
4 Ce 0.000 0.000 0.500  1.08
5 Ce 0.652 0.304 0.417  1.02
6 Pb 0.839 0.677 0.772  -0.02
7 Pb 0.500 0.000 0.000  -0.02
8 Pb 0.161 0.323 0.228  -0.02
9 Pb 0.171 0.341 0.714  -0.02
10 Pb 0.829 0.659 0.286  -0.02
11 Na 0.000 0.000 0.000  0.00

---

6.
# Na6TlSn2

A relaxed structure of Na6TlSn2 (PBE, the Alexandria database).

## Properties
- ΔE_f (eV per formula unit) = -1.15
- offset from the most stable computed form (meV/atom) = 9

Unit cell a=6.300 b=6.304 c=6.304 alpha=95.53 beta=95.55 gamma=95.55
Positions (direct):
1 Na 0.500 0.832 0.168
2 Na 0.833 0.500 0.167
3 Na 0.833 0.167 0.500
4 Na 0.500 0.168 0.832
5 Na 0.167 0.500 0.833
6 Na 0.167 0.833 0.500
7 Tl 0.000 0.000 0.000
8 Sn 0.661 0.661 0.661
9 Sn 0.339 0.339 0.339

---

7.
# DyHoIr2

A relaxed structure of DyHoIr2 (PBE, the Alexandria database).

## Properties
- ΔE_f (eV per formula unit) = -3.34
- offset from the most stable computed form (meV/atom) = 0

Unit cell a=3.575 b=4.723 c=4.723 alpha=90.00 beta=90.00 gamma=90.00
Positions (direct):
1 Dy 0.500 0.000 0.000
2 Ir 0.000 0.500 0.000
3 Ir 0.000 0.000 0.500
4 Ho 0.500 0.500 0.500

---

8.
# Rb5Br4Cl

A relaxed structure of Rb5Br4Cl (PBE, the Alexandria database).

## Properties
- formation energy from raw total energies (eV/atom) = -1.79

Unit cell a=4.917 b=4.917 c=17.691 alpha=97.99 beta=97.99 gamma=90.00
Positions (direct):
1 Rb 0.700 0.700 0.399
2 Rb 0.096 0.096 0.192
3 Rb 0.500 0.500 0.000
4 Rb 0.300 0.300 0.601
5 Rb 0.904 0.904 0.808
6 Br 0.801 0.801 0.602
7 Br 0.600 0.600 0.199
8 Br 0.400 0.400 0.801
9 Br 0.199 0.199 0.398
10 Cl 0.000 0.000 0.000

---

9.
# TmAl10Fe3

A relaxed structure of TmAl10Fe3 (PBE, the Alexandria database).

## Properties
- ΔE_f (eV per formula unit) = -1.48

Unit cell a=8.757 b=8.757 c=8.757 alpha=60.00 beta=60.00 gamma=60.00
Each line ends with the local moment (μB).
Positions (direct):
1 Tm 0.250 0.250 0.250  0.24
2 Tm 0.750 0.750 0.750  0.24
3 Al 0.392 0.392 0.392  -0.01
4 Al 0.825 0.392 0.392  -0.01
5 Al 0.000 0.673 0.000  -0.01
6 Al 0.000 0.673 0.327  -0.01
7 Al 0.000 0.327 0.673  -0.01
8 Al 0.327 0.000 0.673  -0.01
9 Al 0.175 0.608 0.608  -0.01
10 Al 0.392 0.825 0.392  -0.01
11 Al 0.000 0.327 0.000  -0.01
12 Al 0.327 0.673 0.000  -0.01
13 Al 0.608 0.175 0.608  -0.01
14 Al 0.392 0.392 0.825  -0.01
15 Al 0.608 0.608 0.608  -0.01
16 Al 0.673 0.000 0.000  -0.01
17 Al 0.000 0.000 0.673  -0.01
18 Al 0.673 0.327 0.000  -0.01
19 Al 0.327 0.000 0.000  -0.01
20 Al 0.673 0.000 0.327  -0.01
21 Al 0.608 0.608 0.175  -0.01
22 Al 0.000 0.000 0.327  -0.01
23 Fe 0.263 0.737 0.737  0.97
24 Fe 0.263 0.737 0.263  0.97
25 Fe 0.263 0.263 0.737  0.97
26 Fe 0.737 0.263 0.737  0.97
27 Fe 0.737 0.263 0.263  0.97
28 Fe 0.737 0.737 0.263  0.97

---

10.
# Dy2Sn3Ru

A relaxed structure of Dy2Sn3Ru (PBE, the Alexandria database).

## Properties
- ΔE_f (eV per formula unit) = -2.38

Unit cell a=6.048 b=6.922 c=6.922 alpha=84.36 beta=90.00 gamma=90.00
Positions (direct):
1 Sn 0.511 0.839 0.161
2 Sn 0.011 0.839 0.161
3 Sn 0.011 0.161 0.839
4 Sn 0.761 0.568 0.568
5 Sn 0.261 0.432 0.432
6 Sn 0.511 0.161 0.839
7 Dy 0.261 0.548 0.897
8 Dy 0.261 0.897 0.548
9 Dy 0.761 0.103 0.452
10 Dy 0.761 0.452 0.103
11 Ru 0.761 0.819 0.819
12 Ru 0.261 0.181 0.181

---

11.
# ZrBTeI2

A relaxed structure of ZrBTeI2 (PBE, the Alexandria database).

## Properties
- formation energy from raw total energies (eV/atom) = 0.68
- offset from the most stable computed form (meV/atom) = 0

Unit cell a=5.772 b=5.772 c=5.613 alpha=90.00 beta=90.00 gamma=90.00
Each line ends with the local moment (μB).
Positions (direct):
1 I 0.000 0.500 0.000  0.00
2 I 0.500 0.000 0.000  0.00
3 Te 0.000 0.000 0.500  -0.02
4 B 0.500 0.500 0.500  0.11
5 Zr 0.000 0.000 0.000  -0.02

---

12.
# Te6Pb7

A relaxed structure of Te6Pb7 (PBE, the Alexandria database).

## Properties
- formation energy from raw total energies (eV/atom) = -0.04

Unit cell a=12.012 b=12.012 c=12.012 alpha=33.47 beta=33.47 gamma=33.47
Positions (direct):
1 Te 0.184 0.184 0.184
2 Te 0.675 0.675 0.675
3 Te 0.923 0.923 0.923
4 Te 0.816 0.816 0.816
5 Te 0.077 0.077 0.077
6 Te 0.325 0.325 0.325
7 Pb 0.500 0.500 0.500
8 Pb 0.918 0.426 0.426
9 Pb 0.426 0.918 0.426
10 Pb 0.426 0.426 0.918
11 Pb 0.082 0.574 0.574
12 Pb 0.574 0.082 0.574
13 Pb 0.574 0.574 0.082

---

Computed values of Fermi-level density of states (unit: states/eV/cell) for the preceding records, in sequence: 5.66, 15.62, 9.24, 5.33, 32.76, 4.33, 0.72, 0.00, 16.02, 5.75, 5.71, 3.58.
Computed values of total magnetic moment (unit: μB/f.u.) for the preceding records, in sequence: 0.5, 0.0, 0.0, 0.0, 6.2, 0.0, 0.0, 0.0, 3.2, 0.0, 0.2, 0.0.